{"formula": "VCuIF2", "functional": "GGA+U", "state": "optimized geometry", "cell": [[4.002, 0.000, 0.000], [0.000, 6.074, 0.000], [0.000, 0.000, 4.002]], "species": ["Cu", "F", "F", "V", "I"], "fractional_positions": [[0.500, 0.500, 0.500], [0.000, 0.000, 0.500], [0.500, 0.000, 0.000], [0.000, 0.000, 0.000], [0.000, 0.500, 0.000]], "dos_ef_per_ev_fu": 1.45, "total_energy_ev_per_atom": -4.714}